An optimized crystal structure of LiTi2Zn2P2O10. Source: Alexandria via LeMat-Bulk, functional PBE.

Summary:
Its total magnetization is 0.174 μB per atom. For the distance to the lowest polymorph of the same formula, the calculation gives 3 meV per atom. The calculation puts the total energy at -6.85 eV/atom.

Cell: 5.3710 5.7559 7.0775 Å, 106.54 106.94 96.52°
Space group P1 (No. 1)
Unique sites:
Li 0.0000 0.0000 0.0000 [1 per cell]
Ti 0.4526 0.0699 0.7825 [1 per cell]
Ti 0.5286 0.0993 0.2827 [1 per cell]
Zn 0.2318 0.4217 0.5147 [1 per cell]
Zn 0.6780 0.6533 0.0384 [1 per cell]
P 0.1471 0.4821 0.0351 [1 per cell]
P 0.8016 0.7140 0.5387 [1 per cell]
O 0.0551 0.8759 0.7213 [1 per cell]
O 0.1890 0.7658 0.1300 [1 per cell]
O 0.2370 0.3423 0.1951 [1 per cell]
O 0.3111 0.4176 0.8828 [1 per cell]
O 0.4044 0.1464 0.5253 [1 per cell]
O 0.5611 0.7116 0.6208 [1 per cell]
O 0.6474 0.9817 0.0315 [1 per cell]
O 0.7453 0.8149 0.3530 [1 per cell]
O 0.8428 0.3798 0.9162 [1 per cell]
O 0.8486 0.4423 0.4572 [1 per cell]

An optimized crystal structure of YAlNi2. Source: Alexandria via LeMat-Bulk, functional PBE.

Summary:
The formation energy from the elements comes out at -411 meV/atom. Its total magnetization is 0.000 μB per atom. The calculation puts the total energy at -5.85 eV/atom.

Cell: 3.0731 3.1718 6.4387 Å, 90.00 90.13 90.00°
Space group P2/m (No. 10)
Unique sites:
Y 0.0000 0.0000 0.0000 [1 per cell]
Al 0.0000 0.0000 0.5000 [1 per cell]
Ni 0.5004 0.5000 0.2998 [2 per cell]